[1]
VASP calculation (GGA-PBE) on an optimized crystal structure of Pm2Al3Tc.

It has space group R-3m (No. 166, hexagonal axes), with a = 5.6363 Å, b = 5.6363 Å, c = 13.3810 Å, α = 90.00°, β = 90.00° and γ = 120.00°. The asymmetric unit holds Pm at (0.0000, 0.0000, 0.1271), Al at (0.0000, 0.5000, 0.0000) and Tc at (0.0000, 0.0000, 0.5000).

Its density of states at the Fermi level is 0.77 states/eV/atom. The formation energy is -411.3 meV per atom.

=====

[2]
VASP calculation (GGA-PBE) on an optimized crystal structure of PmAl2Tc.

It has space group P4/mmm (No. 123), with a = 3.218 Å, b = 3.218 Å, c = 7.317 Å, α = 90.00°, β = 90.00° and γ = 90.00°. The asymmetric unit holds Pm at (0.000, 0.000, 0.000), Al at (0.500, 0.500, 0.318) and Tc at (0.000, 0.000, 0.500).

The calculation puts the energy above the most stable polymorph in this dataset at 0.000 eV/atom. Its density of states at the Fermi level is 0.93 states/eV/atom. The formation energy is -314.7 meV per atom.

=====

[3]
VASP calculation (GGA-PBE) on an optimized crystal structure of PmAl2Tc.

It has space group R-3m (No. 166, hexagonal axes), with a = 4.2861 Å, b = 4.2861 Å, c = 15.7817 Å, α = 90.00°, β = 90.00° and γ = 120.00°. The asymmetric unit holds Pm at (0.0000, 0.0000, 0.0000), Al at (0.0000, 0.0000, 0.2074) and Tc at (0.0000, 0.0000, 0.5000).

The calculation puts the energy above the most stable polymorph in this dataset at 0.052 eV/atom. Its density of states at the Fermi level is 0.98 states/eV/atom. The formation energy is -262.3 meV per atom.

=====

[4]
VASP calculation (GGA-PBE) on an optimized crystal structure of Pm4AlTc.

It has space group C2/c (No. 15), with a = 8.725 Å, b = 13.125 Å, c = 6.323 Å, α = 90.00°, β = 107.66° and γ = 90.00°. The asymmetric unit holds Pm at (0.110, 0.169, 0.045), Pm at (0.209, 0.422, 0.397), Al at (0.000, 0.377, 0.750) and Tc at (0.000, 0.000, 0.250).

Its density of states at the Fermi level is 1.05 states/eV/atom. The formation energy is -118.1 meV per atom.

=====

| no. | E_tot (eV per atom) |
| --- | --- |
| 1 | -5.5938 |
| 2 | -5.9651 |
| 3 | -5.9128 |
| 4 | -5.6366 |